No. 1
Material: KMnZn3
Method: DFT, GGA-PBE
State: relaxed

Results
**D(E_F)**: 7.2 states/eV per cell
**ΔH_f (0 K)**: 0.331 eV/atom
**Final energy**: -12.4 eV for the cell shown

a b c (Å): 4.9566 4.9566 4.9566
angles (deg): 90.00 90.00 90.00
Last column: nearest neighbours and their distance in Å.
Sites, in units of the cell vectors:
1 K 0.0000 0.0000 0.0000  12 Zn 3.50
2 Mn 0.5000 0.5000 0.5000  6 Zn 2.48
3 Zn 0.0000 0.5000 0.5000  2 Mn 2.48
4 Zn 0.5000 0.0000 0.5000  2 Mn 2.48
5 Zn 0.5000 0.5000 0.0000  2 Mn 2.48

***

No. 2
Material: TlCdCo
Method: DFT, GGA-PBE
State: relaxed

Results
**D(E_F)**: 3.8 states/eV per cell
**ΔH_f (0 K)**: 0.532 eV/atom
**Final energy**: -8.8 eV for the cell shown

a b c (Å): 4.6064 4.6064 3.1615
angles (deg): 90.00 90.00 120.00
Last column: nearest neighbours and their distance in Å.
Sites, in units of the cell vectors:
1 Tl 0.0000 0.0000 0.0000  3 Co 2.66
2 Cd 0.6667 0.3333 0.5000  6 Tl 3.09, 6 Co 3.09, 2 Cd 3.16
3 Co 0.3333 0.6667 0.0000  3 Tl 2.66